Density functional theory data (GGA-PBEsol) for HAuO2 after structural relaxation.

Unit cell a=4.604 b=4.604 c=4.604 alpha=44.25 beta=44.25 gamma=44.25
Sites, in units of the cell vectors:
H: 0.000 0.000 0.000
Au: 0.500 0.500 0.500
O: 0.098 0.098 0.098
O: 0.902 0.902 0.902

M_tot: 0.00 Bohr magnetons per cell
polymorph energy (0 for the lowest one): 241.2 meV per atom



Density functional theory data (GGA-PBEsol) for Mn12Ru17 after structural relaxation.

Unit cell a=7.712 b=7.712 c=7.712 alpha=109.47 beta=109.47 gamma=109.47
Sites, in units of the cell vectors:
Mn: 0.000 0.187 0.360
Mn: 0.000 0.360 0.187
Mn: 0.173 0.813 0.813
Mn: 0.187 0.000 0.360
Mn: 0.187 0.360 0.000
Mn: 0.360 0.000 0.187
Mn: 0.360 0.187 0.000
Mn: 0.640 0.640 0.827
Mn: 0.640 0.827 0.640
Mn: 0.813 0.173 0.813
Mn: 0.813 0.813 0.173
Mn: 0.827 0.640 0.640
Ru: 0.000 0.000 0.000
Ru: 0.000 0.000 0.651
Ru: 0.000 0.389 0.679
Ru: 0.000 0.651 0.000
Ru: 0.000 0.679 0.389
Ru: 0.290 0.611 0.611
Ru: 0.321 0.321 0.710
Ru: 0.321 0.710 0.321
Ru: 0.349 0.349 0.349
Ru: 0.389 0.000 0.679
Ru: 0.389 0.679 0.000
Ru: 0.611 0.290 0.611
Ru: 0.611 0.611 0.290
Ru: 0.651 0.000 0.000
Ru: 0.679 0.000 0.389
Ru: 0.679 0.389 0.000
Ru: 0.710 0.321 0.321

energy relative to the elements: 0.060 eV/atom
M_tot: 0.00 Bohr magnetons per cell



Density functional theory data (GGA-PBEsol) for CdCo2Ag after structural relaxation.

Unit cell a=4.645 b=4.645 c=4.645 alpha=130.78 beta=130.78 gamma=72.17
Sites, in units of the cell vectors:
Cd: 0.000 0.000 0.000
Co: 0.500 0.500 0.000
Co: 0.750 0.250 0.500
Ag: 0.250 0.750 0.500

energy relative to the elements: 0.393 eV/atom
M_tot: 3.04 Bohr magnetons per cell



Density functional theory data (GGA-PBEsol) for SrRhN2F after structural relaxation.

Unit cell a=4.780 b=4.780 c=4.400 alpha=90.00 beta=90.00 gamma=90.00
Sites, in units of the cell vectors:
Sr: 0.000 0.000 0.000
Rh: 0.500 0.500 0.500
N: 0.000 0.500 0.000
N: 0.500 0.000 0.000
F: 0.000 0.000 0.500

M_tot: 6.00 Bohr magnetons per cell
formation energy (no corrections): 1.34 eV/atom